(1)
Compound: CoC2
Source: the Alexandria database
Functional: GGA-PBE
Structure: relaxed

POSCAR file:
```
CoC2
1.0
2.276 -2.765 2.062
3.872 -1.044 0.995
0.951 2.130 4.858
C Co
4 2
direct
0.465 0.465 0.660
0.647 0.647 0.666
0.769 0.769 0.398
0.703 0.703 0.180
0.011 0.011 0.366
0.237 0.237 0.897
```

Summary:
DOS at the Fermi energy = 1.80 states/eV/f.u.
Polymorph energy (0 for the lowest one) = 374 meV/atom
Energy of formation = 864.7 meV per atom

=====

(2)
Compound: Co3C
Source: the Alexandria database
Functional: GGA-PBE
Structure: relaxed

POSCAR file:
```
Co3C
1.0
-0.462 -1.515 4.687
3.959 -1.331 -2.651
3.461 5.849 2.231
Co C
12 4
direct
0.000 0.500 0.500
0.845 0.689 0.250
0.500 0.000 0.500
0.500 0.500 0.000
0.000 0.500 0.000
0.689 0.845 0.750
0.155 0.845 0.750
0.845 0.155 0.250
0.311 0.155 0.250
0.155 0.311 0.750
0.500 0.000 0.000
0.500 0.500 0.500
0.667 0.333 0.750
0.333 0.667 0.250
0.000 0.000 0.500
0.000 0.000 0.000
```

Summary:
DOS at the Fermi energy = 6.55 states/eV/f.u.
Energy of formation = 893.8 meV per atom

=====

(3)
Compound: CoC2
Source: the Alexandria database
Functional: GGA-PBE
Structure: relaxed

POSCAR file:
```
CoC2
1.0
2.409 -2.674 0.000
2.409 2.674 0.000
0.000 0.000 4.181
Co C
2 4
direct
0.635 0.365 0.250
0.365 0.635 0.750
0.858 0.423 0.750
0.142 0.577 0.250
0.423 0.858 0.250
0.577 0.142 0.750
```

Summary:
DOS at the Fermi energy = 1.53 states/eV/f.u.
Polymorph energy (0 for the lowest one) = 576 meV/atom
Energy of formation = 1067.4 meV per atom

=====

(4)
Compound: Co5C
Source: the Alexandria database
Functional: GGA-PBE
Structure: relaxed

POSCAR file:
```
Co5C
1.0
1.281 4.091 0.003
-1.281 4.091 0.003
0.000 1.425 5.696
Co C
5 1
direct
0.267 0.267 0.392
0.960 0.960 0.566
0.655 0.655 0.755
0.349 0.349 0.959
0.578 0.578 0.191
0.024 0.024 0.971
```

Summary:
DOS at the Fermi energy = 6.02 states/eV/f.u.
Polymorph energy (0 for the lowest one) = 0 meV/atom
Energy of formation = 177.8 meV per atom

=====

(5)
Compound: CoC
Source: the Alexandria database
Functional: GGA-PBE
Structure: relaxed

POSCAR file:
```
CoC
1.0
-1.658 -2.389 0.267
3.906 -2.340 3.317
-1.061 0.952 1.921
C Co
2 2
direct
0.000 0.000 0.909
0.000 0.500 0.424
0.500 0.500 0.926
0.500 0.000 0.407
```

Summary:
DOS at the Fermi energy = 0.90 states/eV/f.u.
Energy of formation = 989.0 meV per atom

=====

(6)
Compound: CoC
Source: the Alexandria database
Functional: GGA-PBE
Structure: relaxed

POSCAR file:
```
CoC
1.0
-4.104 -1.853 2.612
3.101 -0.771 4.324
-1.314 5.666 1.953
C Co
8 8
direct
0.348 0.545 0.059
0.683 0.587 0.707
0.317 0.087 0.793
0.183 0.913 0.293
0.848 0.955 0.941
0.817 0.413 0.207
0.652 0.045 0.441
0.152 0.455 0.559
0.309 0.138 0.481
0.618 0.930 0.719
0.382 0.430 0.781
0.118 0.570 0.281
0.809 0.362 0.519
0.191 0.862 0.981
0.691 0.638 0.019
0.882 0.070 0.219
```

Summary:
DOS at the Fermi energy = 1.08 states/eV/f.u.
Energy of formation = 720.9 meV per atom

=====

(7)
Compound: Co5C
Source: the Alexandria database
Functional: GGA-PBE
Structure: relaxed

POSCAR file:
```
Co5C
1.0
-5.849 1.359 -1.897
4.496 -2.127 3.863
0.314 3.633 1.635
Co C
5 1
direct
0.672 0.328 0.500
0.881 0.119 0.000
0.000 0.000 0.500
0.328 0.672 0.500
0.119 0.881 0.000
0.500 0.500 0.000
```

Summary:
DOS at the Fermi energy = 6.23 states/eV/f.u.
Polymorph energy (0 for the lowest one) = 242 meV/atom
Energy of formation = 420.1 meV per atom

=====

(8)
Compound: CoC
Source: the Alexandria database
Functional: GGA-PBE
Structure: relaxed

POSCAR file:
```
CoC
1.0
3.415 0.000 0.000
0.000 3.415 0.000
0.000 0.000 5.282
C Co
2 2
direct
0.750 0.750 0.858
0.250 0.250 0.142
0.250 0.750 0.000
0.750 0.250 0.000
```

Summary:
DOS at the Fermi energy = 0.51 states/eV/f.u.
Energy of formation = 752.7 meV per atom

=====

(9)
Compound: Co5C
Source: the Alexandria database
Functional: GGA-PBE
Structure: relaxed

POSCAR file:
```
Co5C
1.0
-0.733 0.776 -2.225
-2.290 0.317 0.865
2.163 9.007 2.427
C Co
1 5
direct
0.500 0.500 0.000
0.000 0.000 0.500
0.000 0.000 0.880
0.500 0.500 0.315
0.500 0.500 0.685
0.000 0.000 0.120
```

Summary:
DOS at the Fermi energy = 5.08 states/eV/f.u.
Polymorph energy (0 for the lowest one) = 127 meV/atom
Energy of formation = 304.3 meV per atom

=====

(10)
Compound: CoC
Source: the Alexandria database
Functional: GGA-PBE
Structure: relaxed

POSCAR file:
```
CoC
1.0
7.178 0.000 0.000
-3.589 6.216 0.000
0.000 0.000 3.093
C Co
6 6
direct
0.313 0.933 0.750
0.380 0.313 0.250
0.687 0.067 0.250
0.620 0.687 0.750
0.933 0.620 0.250
0.067 0.380 0.750
0.656 0.569 0.250
0.344 0.431 0.750
0.913 0.344 0.250
0.087 0.656 0.750
0.431 0.087 0.250
0.569 0.913 0.750
```

Summary:
DOS at the Fermi energy = 1.08 states/eV/f.u.
Energy of formation = 721.1 meV per atom

=====

(11)
Compound: Co2C
Source: the Alexandria database
Functional: GGA-PBE
Structure: relaxed

POSCAR file:
```
Co2C
1.0
-1.387 -0.145 3.470
1.180 -3.213 1.506
1.479 3.106 -1.468
Co C
2 1
direct
0.689 0.689 0.000
0.311 0.311 0.000
0.000 0.000 0.000
```

Summary:
DOS at the Fermi energy = 2.40 states/eV/f.u.
Polymorph energy (0 for the lowest one) = 877 meV/atom
Energy of formation = 984.2 meV per atom

=====

(12)
Compound: Co3C5
Source: the Alexandria database
Functional: GGA-PBE
Structure: relaxed

POSCAR file:
```
Co3C5
1.0
-2.794 3.632 -2.142
-2.579 -3.160 3.944
1.576 3.451 3.795
Co C
6 10
direct
0.047 0.559 0.250
0.953 0.441 0.750
0.469 0.987 0.250
0.531 0.013 0.750
0.486 0.430 0.250
0.514 0.570 0.750
0.133 0.143 0.250
0.658 0.319 0.997
0.342 0.681 0.497
0.342 0.681 0.003
0.011 0.149 0.750
0.989 0.851 0.250
0.867 0.857 0.750
0.831 0.995 0.250
0.658 0.319 0.503
0.169 0.005 0.750
```

Summary:
DOS at the Fermi energy = 3.55 states/eV/f.u.
Polymorph energy (0 for the lowest one) = 87 meV/atom
Energy of formation = 1000.2 meV per atom

=====

(13)
Compound: Co2C
Source: the Alexandria database
Functional: GGA-PBE
Structure: relaxed

POSCAR file:
```
Co2C
1.0
1.565 -2.710 0.000
1.565 2.710 0.000
0.000 0.000 6.785
Co C
4 2
direct
0.667 0.333 0.250
0.333 0.667 0.750
0.000 0.000 0.000
0.000 0.000 0.500
0.667 0.333 0.750
0.333 0.667 0.250
```

Summary:
DOS at the Fermi energy = 3.29 states/eV/f.u.
Polymorph energy (0 for the lowest one) = 517 meV/atom
Energy of formation = 623.7 meV per atom

=====

(14)
Compound: CoC
Source: the Alexandria database
Functional: GGA-PBE
Structure: relaxed

POSCAR file:
```
CoC
1.0
5.214 0.000 0.000
0.000 5.214 0.000
0.000 0.000 5.214
C Co
6 6
direct
0.250 0.000 0.500
0.500 0.250 0.000
0.000 0.500 0.250
0.000 0.500 0.750
0.500 0.750 0.000
0.750 0.000 0.500
0.000 0.250 0.500
0.750 0.500 0.000
0.250 0.500 0.000
0.500 0.000 0.750
0.000 0.750 0.500
0.500 0.000 0.250
```

Summary:
DOS at the Fermi energy = 0.94 states/eV/f.u.
Energy of formation = 701.0 meV per atom

=====

(15)
Compound: Co2C
Source: the Alexandria database
Functional: GGA-PBE
Structure: relaxed

POSCAR file:
```
Co2C
1.0
1.610 -5.625 0.000
1.610 5.625 0.000
0.000 0.000 3.088
Co C
4 2
direct
0.834 0.166 0.500
0.500 0.500 0.500
0.000 0.000 0.000
0.166 0.834 0.500
0.617 0.383 0.000
0.383 0.617 0.000
```

Summary:
DOS at the Fermi energy = 3.03 states/eV/f.u.
Polymorph energy (0 for the lowest one) = 785 meV/atom
Energy of formation = 892.6 meV per atom

=====

(16)
Compound: Co3C
Source: the Alexandria database
Functional: GGA-PBE
Structure: relaxed

POSCAR file:
```
Co3C
1.0
2.791 0.000 0.000
0.000 4.202 -0.005
0.000 2.388 3.460
Co C
3 1
direct
0.000 0.500 0.500
0.500 0.837 0.837
0.500 0.163 0.163
0.000 0.000 0.000
```

Summary:
DOS at the Fermi energy = 4.04 states/eV/f.u.
Energy of formation = 275.9 meV per atom

=====

(17)
Compound: Co4C
Source: the Alexandria database
Functional: GGA-PBE
Structure: relaxed

POSCAR file:
```
Co4C
1.0
0.407 -3.741 -2.537
-1.796 2.014 3.648
-2.749 2.102 -2.936
C Co
1 4
direct
0.000 0.000 0.000
0.238 0.569 0.807
0.569 0.762 0.332
0.431 0.238 0.668
0.762 0.431 0.193
```

Summary:
DOS at the Fermi energy = 4.12 states/eV/f.u.
Polymorph energy (0 for the lowest one) = 80 meV/atom
Energy of formation = 300.2 meV per atom

=====

(18)
Compound: CoC2
Source: the Alexandria database
Functional: GGA-PBE
Structure: relaxed

POSCAR file:
```
CoC2
1.0
2.515 2.215 2.038
-3.498 -0.906 1.526
1.441 -3.023 1.507
C Co
4 2
direct
0.333 0.667 0.250
0.000 0.000 0.500
0.000 0.000 0.000
0.667 0.333 0.750
0.333 0.667 0.750
0.667 0.333 0.250
```

Summary:
DOS at the Fermi energy = 1.65 states/eV/f.u.
Polymorph energy (0 for the lowest one) = 1716 meV/atom
Energy of formation = 2207.2 meV per atom

=====

(19)
Compound: CoC
Source: the Alexandria database
Functional: GGA-PBE
Structure: relaxed

POSCAR file:
```
CoC
1.0
-3.166 3.646 1.277
-1.644 -1.737 0.882
2.723 -0.251 4.585
Co C
4 4
direct
0.700 0.000 0.388
0.700 0.500 0.888
0.300 0.000 0.612
0.300 0.500 0.112
0.081 0.000 0.291
0.081 0.500 0.791
0.919 0.500 0.209
0.919 0.000 0.709
```

Summary:
DOS at the Fermi energy = 0.95 states/eV/f.u.
Energy of formation = 678.5 meV per atom

=====

(20)
Compound: CoC5
Source: the Alexandria database
Functional: GGA-PBE
Structure: relaxed

POSCAR file:
```
CoC5
1.0
1.302 3.310 -0.004
-1.302 3.310 -0.004
0.000 0.237 5.258
C Co
5 1
direct
0.405 0.405 0.357
0.625 0.625 0.299
0.805 0.805 0.470
0.813 0.813 0.750
0.958 0.958 0.916
0.228 0.228 0.041
```

Summary:
DOS at the Fermi energy = 2.28 states/eV/f.u.
Polymorph energy (0 for the lowest one) = 291 meV/atom
Energy of formation = 906.2 meV per atom